Record 1
Compound: La2DyGa3Rh4
Source: Alexandria via LeMat-Bulk
Functional: PBE-GGA
Structure: relaxed

Geometry as POSCAR:
```
La2DyGa3Rh4
1.0
4.340 0.000 0.000
0.000 4.340 0.000
0.000 0.000 10.889
La Dy Ga Rh
2 1 3 4
direct
0.000 0.500 0.223
0.500 0.000 0.777
0.000 0.000 0.500
0.000 0.500 0.885
0.500 0.000 0.115
0.500 0.500 0.500
0.000 0.000 0.000
0.000 0.500 0.652
0.500 0.000 0.348
0.500 0.500 0.000
```

Summary:
**Energy of formation**: -18.81 kcal/mol of atoms


Record 2
Compound: LaDyGaRu
Source: Alexandria via LeMat-Bulk
Functional: PBE-GGA
Structure: relaxed

Geometry as POSCAR:
```
LaDyGaRu
1.0
3.891 0.000 0.000
0.000 2.310 5.336
0.000 -2.310 5.336
La Dy Ga Ru
1 1 1 1
direct
0.000 0.000 0.000
0.500 0.703 0.703
0.500 0.397 0.397
0.000 0.232 0.232
```

Summary:
**Energy of formation**: -10.68 kcal/mol of atoms
**Polymorph energy (0 for the lowest one)**: 0.0000 eV/atom


Record 3
Compound: LaDyGa2Ru2
Source: Alexandria via LeMat-Bulk
Functional: PBE-GGA
Structure: relaxed

Geometry as POSCAR:
```
LaDyGa2Ru2
1.0
4.340 0.000 0.000
-2.170 3.758 0.000
0.000 0.000 7.735
La Dy Ga Ru
1 1 2 2
direct
0.000 0.000 0.000
0.000 0.000 0.500
0.333 0.667 0.275
0.667 0.333 0.725
0.333 0.667 0.733
0.667 0.333 0.267
```

Summary:
**Energy of formation**: -10.88 kcal/mol of atoms